[1]
Here is crystalline Sm3Er4Mg at its relaxed geometry from the Alexandria database. Energies are from PBE.

a = 3.505 Å, b = 11.526 Å, c = 8.701 Å
α = 131.46°, β = 101.62°, γ = 90.00°
Atoms (fractional coordinates):
Er1 0.366 0.621 0.732
Er2 0.634 0.379 0.268
Er3 0.634 0.889 0.268
Er4 0.366 0.111 0.732
Mg1 0.500 0.000 0.000
Sm1 0.766 0.766 0.532
Sm2 0.000 0.500 0.000
Sm3 0.234 0.234 0.468

Output
**E_form**: 0.087 eV per atom
**Raw total energy**: -33.3 eV/cell
**Energy relative to the lowest polymorph listed for this composition**: 86.4 meV per atom
**Theoretical density**: 7.49 g/cm³
**Space-group type**: No. 71

---

[2]
Here is crystalline Al2FePd2 at its relaxed geometry from the Alexandria database. Energies are from PBE.

a = 7.255 Å, b = 7.255 Å, c = 2.839 Å
α = 90.00°, β = 90.00°, γ = 90.00°
Atoms (fractional coordinates):
Pd1 0.859 0.641 0.000
Pd2 0.641 0.141 0.000
Pd3 0.141 0.359 0.000
Pd4 0.359 0.859 0.000
Al1 0.342 0.158 0.500
Al2 0.658 0.842 0.500
Al3 0.158 0.658 0.500
Al4 0.842 0.342 0.500
Fe1 0.500 0.500 0.000
Fe2 0.000 0.000 0.000

Output
**E_form**: -0.459 eV per atom
**Raw total energy**: -57.3 eV/cell
**Energy relative to the lowest polymorph listed for this composition**: 77.0 meV per atom
**Theoretical density**: 7.17 g/cm³
**Space-group type**: No. 127

---

[3]
Here is crystalline Nd3CuSiS7 at its relaxed geometry from the Alexandria database. Energies are from PBE.

a = 10.204 Å, b = 10.204 Å, c = 5.793 Å
α = 90.00°, β = 90.00°, γ = 120.00°
Atoms (fractional coordinates):
S1 0.112 0.588 0.478
S2 0.588 0.476 0.978
S3 0.888 0.412 0.978
S4 0.252 0.164 0.732
S5 0.748 0.836 0.232
S6 0.164 0.913 0.232
S7 0.836 0.087 0.732
S8 0.412 0.524 0.478
S9 0.476 0.888 0.478
S10 0.667 0.333 0.469
S11 0.913 0.748 0.732
S12 0.333 0.667 0.969
S13 0.524 0.112 0.978
S14 0.087 0.252 0.232
Nd1 0.357 0.232 0.247
Nd2 0.232 0.876 0.747
Nd3 0.876 0.643 0.247
Nd4 0.124 0.357 0.747
Nd5 0.643 0.768 0.747
Nd6 0.768 0.124 0.247
Si1 0.333 0.667 0.334
Si2 0.667 0.333 0.834
Cu1 0.000 0.000 0.722
Cu2 0.000 0.000 0.222

Output
**Raw total energy**: -142.7 eV/cell
**Formation energy without anion corrections**: -1.55 eV per atom
**Theoretical density**: 4.76 g/cm³
**Space-group type**: No. 173

---

[4]
Here is crystalline YTlGe2Cl8 at its relaxed geometry from the Alexandria database. Energies are from PBE.

a = 6.938 Å, b = 6.308 Å, c = 9.074 Å
α = 89.75°, β = 85.95°, γ = 85.72°
Atoms (fractional coordinates):
Ge1 0.552 0.539 0.233
Ge2 0.448 0.461 0.767
Cl1 0.862 0.269 0.217
Cl2 0.185 0.786 0.201
Cl3 0.138 0.731 0.783
Cl4 0.815 0.214 0.799
Cl5 0.640 0.725 0.430
Cl6 0.689 0.762 0.037
Cl7 0.311 0.238 0.963
Cl8 0.360 0.275 0.570
Tl1 0.000 0.000 0.500
Y1 0.000 0.000 0.000

Output
**Raw total energy**: -48.6 eV/cell
**Formation energy without anion corrections**: -1.31 eV per atom
**Theoretical density**: 3.04 g/cm³
**Space-group type**: No. 2

---

[5]
Here is crystalline CeGe2Se4 at its relaxed geometry from the Alexandria database. Energies are from PBE.

a = 6.441 Å, b = 6.441 Å, c = 6.441 Å
α = 106.01°, β = 106.01°, γ = 116.63°
Atoms (fractional coordinates):
Ce1 0.500 0.500 0.000
Se1 0.823 0.305 0.128
Se2 0.305 0.177 0.483
Se3 0.695 0.823 0.517
Se4 0.177 0.695 0.872
Ge1 0.250 0.750 0.500
Ge2 0.750 0.250 0.500

Output
**Raw total energy**: -32.7 eV/cell
**Formation energy without anion corrections**: -0.52 eV per atom
**Theoretical density**: 4.91 g/cm³
**Space-group type**: No. 87

---

[6]
Here is crystalline CdP2SeCl at its relaxed geometry from the Alexandria database. Energies are from PBE.

a = 5.096 Å, b = 5.096 Å, c = 4.897 Å
α = 90.00°, β = 90.00°, γ = 90.00°
Atoms (fractional coordinates):
P1 0.500 0.000 0.000
P2 0.000 0.500 0.000
Cl1 0.000 0.000 0.500
Cd1 0.000 0.000 0.000
Se1 0.500 0.500 0.500

Output
**Raw total energy**: -12.3 eV/cell
**Formation energy without anion corrections**: 0.95 eV per atom
**Energy relative to the lowest polymorph listed for this composition**: 211.8 meV per atom
**Theoretical density**: 3.77 g/cm³
**Space-group type**: No. 123